## Ce3Si6N11 (PBE)

Data for Ce3Si6N11 after structural relaxation.

The structure in CIF format:
```
data_Ce3Si6N11
_chemical_formula_sum 'Ce6 Si12 N22'
_cell_length_a 10.156
_cell_length_b 10.156
_cell_length_c 4.888
_cell_angle_alpha 90.00
_cell_angle_beta 90.00
_cell_angle_gamma 90.00
_space_group_name_H-M_alt 'P 4 b m'
_space_group_IT_number 100
loop_
_space_group_symop_operation_xyz
'x,y,z'
'-y,x,z'
'-x,-y,z'
'y,-x,z'
'-x+1/2,y+1/2,z'
'y+1/2,x+1/2,z'
'x+1/2,-y+1/2,z'
'-y+1/2,-x+1/2,z'
loop_
_atom_site_label
_atom_site_type_symbol
_atom_site_fract_x
_atom_site_fract_y
_atom_site_fract_z
Ce1 Ce 0.000 0.000 0.000
Ce2 Ce 0.181 0.319 0.993
Si1 Si 0.079 0.791 0.461
Si2 Si 0.117 0.617 0.950
N1 N 0.000 0.500 0.923
N2 N 0.076 0.771 0.814
N3 N 0.079 0.179 0.348
N4 N 0.154 0.654 0.297
```

Properties
ΔE_f (raw): -25.04 eV per formula unit
magnetic moment: 6.00 μB per cell

***

## CeSiN (PBE)

Data for CeSiN after structural relaxation.

The structure in CIF format:
```
data_CeSiN
_chemical_formula_sum 'Ce2 Si2 N2'
_cell_length_a 4.100
_cell_length_b 3.973
_cell_length_c 7.072
_cell_angle_alpha 90.00
_cell_angle_beta 106.83
_cell_angle_gamma 90.00
_space_group_name_H-M_alt 'P 1 21/m 1'
_space_group_IT_number 11
loop_
_space_group_symop_operation_xyz
'x,y,z'
'-x,-y,-z'
'-x,y+1/2,-z'
'x,-y+1/2,z'
loop_
_atom_site_label
_atom_site_type_symbol
_atom_site_fract_x
_atom_site_fract_y
_atom_site_fract_z
Ce1 Ce 0.170 0.250 0.339
Si1 Si 0.453 0.250 0.910
N1 N 0.250 0.750 0.500
```

Properties
ΔE_f (raw): -2.71 eV per formula unit
magnetic moment: 0.00 μB per cell

***

## Ce3SiN5 (PBE)

Data for Ce3SiN5 after structural relaxation.

The structure in CIF format:
```
data_Ce3SiN5
_chemical_formula_sum 'Ce12 Si4 N20'
_cell_length_a 6.601
_cell_length_b 6.601
_cell_length_c 11.010
_cell_angle_alpha 90.00
_cell_angle_beta 90.00
_cell_angle_gamma 90.00
_space_group_name_H-M_alt 'I 4/m c m'
_space_group_IT_number 140
_space_group_name_Hall '-I 4 2c'
loop_
_atom_site_label
_atom_site_type_symbol
_atom_site_fract_x
_atom_site_fract_y
_atom_site_fract_z
Ce1 Ce 0.000 0.000 0.250
Ce2 Ce 0.179 0.321 0.000
Si1 Si 0.000 0.500 0.250
N1 N 0.000 0.000 0.000
N2 N 0.144 0.356 0.352
```

Properties
ΔE_f (raw): -12.25 eV per formula unit
magnetic moment: 4.54 μB per cell

***

## Ce2SiN3 (PBE)

Data for Ce2SiN3 after structural relaxation.

The structure in CIF format:
```
data_Ce2SiN3
_chemical_formula_sum 'Ce16 Si8 N24'
_cell_length_a 5.320
_cell_length_b 10.614
_cell_length_c 11.848
_cell_angle_alpha 90.00
_cell_angle_beta 91.69
_cell_angle_gamma 90.00
_space_group_name_H-M_alt 'C 1 2/c 1'
_space_group_IT_number 15
loop_
_space_group_symop_operation_xyz
'x,y,z'
'-x,-y,-z'
'-x,y,-z+1/2'
'x,-y,z+1/2'
'x+1/2,y+1/2,z'
'-x+1/2,-y+1/2,-z'
'-x+1/2,y+1/2,-z+1/2'
'x+1/2,-y+1/2,z+1/2'
loop_
_atom_site_label
_atom_site_type_symbol
_atom_site_fract_x
_atom_site_fract_y
_atom_site_fract_z
Ce1 Ce 0.234 0.194 0.358
Ce2 Ce 0.245 0.110 0.932
Si1 Si 0.242 0.496 0.834
N1 N 0.000 0.012 0.750
N2 N 0.000 0.439 0.250
N3 N 0.218 0.332 0.859
N4 N 0.243 0.096 0.547
```

Properties
ΔE_f (raw): -7.65 eV per formula unit
magnetic moment: 12.91 μB per cell

***

## CeSm2SiN4 (PBE)

Data for CeSm2SiN4 after structural relaxation.

The structure in CIF format:
```
data_CeSm2SiN4
_chemical_formula_sum 'Ce4 Sm8 Si4 N16'
_cell_length_a 3.444
_cell_length_b 11.636
_cell_length_c 11.912
_cell_angle_alpha 90.00
_cell_angle_beta 90.00
_cell_angle_gamma 90.00
_space_group_name_H-M_alt 'C m c m'
_space_group_IT_number 63
_space_group_name_Hall '-C 2c 2'
loop_
_atom_site_label
_atom_site_type_symbol
_atom_site_fract_x
_atom_site_fract_y
_atom_site_fract_z
Ce1 Ce 0.000 0.091 0.250
Sm1 Sm 0.000 0.368 0.043
Si1 Si 0.000 0.179 0.750
N1 N 0.000 0.000 0.000
N2 N 0.000 0.272 0.635
N3 N 0.000 0.404 0.250
```

Properties
ΔE_f (raw): -9.54 eV per formula unit
magnetic moment: 4.03 μB per cell

***

## Ce2SiSnN5 (PBE)

Data for Ce2SiSnN5 after structural relaxation.

The structure in CIF format:
```
data_Ce2SiSnN5
_chemical_formula_sum 'Ce8 Si4 Sn4 N20'
_cell_length_a 3.234
_cell_length_b 14.784
_cell_length_c 9.940
_cell_angle_alpha 90.00
_cell_angle_beta 90.00
_cell_angle_gamma 90.00
_space_group_name_H-M_alt 'C m c 21'
_space_group_IT_number 36
loop_
_space_group_symop_operation_xyz
'x,y,z'
'-x,-y,z+1/2'
'-x,y,z'
'x,-y,z+1/2'
'x+1/2,y+1/2,z'
'-x+1/2,-y+1/2,z+1/2'
'-x+1/2,y+1/2,z'
'x+1/2,-y+1/2,z+1/2'
loop_
_atom_site_label
_atom_site_type_symbol
_atom_site_fract_x
_atom_site_fract_y
_atom_site_fract_z
Ce1 Ce 0.000 0.110 0.000
Ce2 Ce 0.000 0.122 0.634
Si1 Si 0.000 0.452 0.764
Sn1 Sn 0.000 0.211 0.344
N1 N 0.000 0.029 0.343
N2 N 0.000 0.294 0.999
N3 N 0.000 0.336 0.713
N4 N 0.000 0.353 0.325
N5 N 0.000 0.497 0.106
```

Properties
ΔE_f (raw): -7.39 eV per formula unit
magnetic moment: 4.19 μB per cell

***

## Sr4Ce3SiN8 (PBE)

Data for Sr4Ce3SiN8 after structural relaxation.

The structure in CIF format:
```
data_Sr4Ce3SiN8
_chemical_formula_sum 'Sr8 Ce6 Si2 N16'
_cell_length_a 12.863
_cell_length_b 6.872
_cell_length_c 7.104
_cell_angle_alpha 90.00
_cell_angle_beta 122.47
_cell_angle_gamma 90.00
_space_group_name_H-M_alt 'C 1 2/m 1'
_space_group_IT_number 12
loop_
_space_group_symop_operation_xyz
'x,y,z'
'-x,-y,-z'
'-x,y,-z'
'x,-y,z'
'x+1/2,y+1/2,z'
'-x+1/2,-y+1/2,-z'
'-x+1/2,y+1/2,-z'
'x+1/2,-y+1/2,z'
loop_
_atom_site_label
_atom_site_type_symbol
_atom_site_fract_x
_atom_site_fract_y
_atom_site_fract_z
Sr1 Sr 0.000 0.000 0.000
Sr2 Sr 0.000 0.500 0.000
Sr3 Sr 0.250 0.250 0.000
Ce1 Ce 0.000 0.000 0.500
Ce2 Ce 0.250 0.250 0.500
Si1 Si 0.000 0.500 0.500
N1 N 0.010 0.291 0.319
N2 N 0.222 0.000 0.256
N3 N 0.230 0.000 0.705
```

Properties
ΔE_f (raw): -14.10 eV per formula unit
magnetic moment: 0.00 μB per cell

***

## CeSiTcN (PBE)

Data for CeSiTcN after structural relaxation.

The structure in CIF format:
```
data_CeSiTcN
_chemical_formula_sum 'Ce2 Si2 Tc2 N2'
_cell_length_a 3.910
_cell_length_b 3.910
_cell_length_c 8.450
_cell_angle_alpha 90.00
_cell_angle_beta 90.00
_cell_angle_gamma 90.00
_space_group_name_H-M_alt 'P 4/n m m'
_space_group_IT_number 129
loop_
_space_group_symop_operation_xyz
'x,y,z'
'-x,-y,-z'
'-y+1/2,x,z'
'y+1/2,-x,-z'
'-x+1/2,-y+1/2,z'
'x+1/2,y+1/2,-z'
'y,-x+1/2,z'
'-y,x+1/2,-z'
'x+1/2,-y,-z'
'-x+1/2,y,z'
'-y,-x,-z'
'y,x,z'
'-x,y+1/2,-z'
'x,-y+1/2,z'
'y+1/2,x+1/2,-z'
'-y+1/2,-x+1/2,z'
loop_
_atom_site_label
_atom_site_type_symbol
_atom_site_fract_x
_atom_site_fract_y
_atom_site_fract_z
Ce1 Ce 0.250 0.250 0.154
Si1 Si 0.250 0.250 0.671
Tc1 Tc 0.250 0.750 0.500
N1 N 0.250 0.250 0.881
```

Properties
ΔE_f (raw): -3.64 eV per formula unit
magnetic moment: 1.74 μB per cell

***

## Ce2Si2Tc2N (PBE)

Data for Ce2Si2Tc2N after structural relaxation.

The structure in CIF format:
```
data_Ce2Si2Tc2N
_chemical_formula_sum 'Ce4 Si4 Tc4 N2'
_cell_length_a 11.100
_cell_length_b 4.070
_cell_length_c 6.999
_cell_angle_alpha 90.00
_cell_angle_beta 128.52
_cell_angle_gamma 90.00
_space_group_name_H-M_alt 'C 1 2/m 1'
_space_group_IT_number 12
loop_
_space_group_symop_operation_xyz
'x,y,z'
'-x,-y,-z'
'-x,y,-z'
'x,-y,z'
'x+1/2,y+1/2,z'
'-x+1/2,-y+1/2,-z'
'-x+1/2,y+1/2,-z'
'x+1/2,-y+1/2,z'
loop_
_atom_site_label
_atom_site_type_symbol
_atom_site_fract_x
_atom_site_fract_y
_atom_site_fract_z
Ce1 Ce 0.063 0.000 0.334
Si1 Si 0.150 0.500 0.105
Tc1 Tc 0.204 0.500 0.811
N1 N 0.000 0.500 0.500
```

Properties
ΔE_f (raw): -5.52 eV per formula unit
magnetic moment: 2.09 μB per cell

***

## Ce2ThSiN5 (PBE)

Data for Ce2ThSiN5 after structural relaxation.

The structure in CIF format:
```
data_Ce2ThSiN5
_chemical_formula_sum 'Ce4 Th2 Si2 N10'
_cell_length_a 6.513
_cell_length_b 6.513
_cell_length_c 5.700
_cell_angle_alpha 90.00
_cell_angle_beta 90.00
_cell_angle_gamma 90.00
_space_group_name_H-M_alt 'P 4/m b m'
_space_group_IT_number 127
_space_group_name_Hall '-P 4 2ab'
loop_
_atom_site_label
_atom_site_type_symbol
_atom_site_fract_x
_atom_site_fract_y
_atom_site_fract_z
Ce1 Ce 0.172 0.328 0.000
Th1 Th 0.000 0.000 0.500
Si1 Si 0.000 0.500 0.500
N1 N 0.000 0.000 0.000
N2 N 0.142 0.642 0.281
```

Properties
ΔE_f (raw): -10.63 eV per formula unit
magnetic moment: 0.00 μB per cell

***

## Ce2USiN5 (PBE)

Data for Ce2USiN5 after structural relaxation.

The structure in CIF format:
```
data_Ce2USiN5
_chemical_formula_sum 'Ce4 U2 Si2 N10'
_cell_length_a 6.443
_cell_length_b 6.443
_cell_length_c 5.700
_cell_angle_alpha 90.00
_cell_angle_beta 90.00
_cell_angle_gamma 90.00
_space_group_name_H-M_alt 'P 4/m b m'
_space_group_IT_number 127
_space_group_name_Hall '-P 4 2ab'
loop_
_atom_site_label
_atom_site_type_symbol
_atom_site_fract_x
_atom_site_fract_y
_atom_site_fract_z
Ce1 Ce 0.172 0.328 0.000
U1 U 0.000 0.000 0.500
Si1 Si 0.000 0.500 0.500
N1 N 0.000 0.000 0.000
N2 N 0.144 0.644 0.283
```

Properties
ΔE_f (raw): -8.83 eV per formula unit
magnetic moment: 5.97 μB per cell

***

## CeY2SiN4 (PBE)

Data for CeY2SiN4 after structural relaxation.

The structure in CIF format:
```
data_CeY2SiN4
_chemical_formula_sum 'Ce4 Y8 Si4 N16'
_cell_length_a 3.392
_cell_length_b 11.506
_cell_length_c 11.591
_cell_angle_alpha 90.00
_cell_angle_beta 90.00
_cell_angle_gamma 90.00
_space_group_name_H-M_alt 'C m c m'
_space_group_IT_number 63
_space_group_name_Hall '-C 2c 2'
loop_
_atom_site_label
_atom_site_type_symbol
_atom_site_fract_x
_atom_site_fract_y
_atom_site_fract_z
Ce1 Ce 0.000 0.089 0.250
Y1 Y 0.000 0.369 0.043
Si1 Si 0.000 0.176 0.750
N1 N 0.000 0.000 0.000
N2 N 0.000 0.267 0.631
N3 N 0.000 0.406 0.250
```

Properties
ΔE_f (raw): -10.56 eV per formula unit
magnetic moment: 4.12 μB per cell

***

## Ce2YSiN5 (PBE)

Data for Ce2YSiN5 after structural relaxation.

The structure in CIF format:
```
data_Ce2YSiN5
_chemical_formula_sum 'Ce8 Y4 Si4 N20'
_cell_length_a 3.279
_cell_length_b 16.093
_cell_length_c 9.432
_cell_angle_alpha 90.00
_cell_angle_beta 90.00
_cell_angle_gamma 90.00
_space_group_name_H-M_alt 'C m c 21'
_space_group_IT_number 36
loop_
_space_group_symop_operation_xyz
'x,y,z'
'-x,-y,z+1/2'
'-x,y,z'
'x,-y,z+1/2'
'x+1/2,y+1/2,z'
'-x+1/2,-y+1/2,z+1/2'
'-x+1/2,y+1/2,z'
'x+1/2,-y+1/2,z+1/2'
loop_
_atom_site_label
_atom_site_type_symbol
_atom_site_fract_x
_atom_site_fract_y
_atom_site_fract_z
Ce1 Ce 0.000 0.100 0.000
Ce2 Ce 0.000 0.110 0.623
Y1 Y 0.000 0.215 0.329
Si1 Si 0.000 0.447 0.771
N1 N 0.000 0.037 0.354
N2 N 0.000 0.314 0.008
N3 N 0.000 0.348 0.689
N4 N 0.000 0.359 0.342
N5 N 0.000 0.496 0.111
```

Properties
ΔE_f (raw): -11.05 eV per formula unit
magnetic moment: 0.00 μB per cell

***

## CeZn2SiN4 (PBE)

Data for CeZn2SiN4 after structural relaxation.

The structure in CIF format:
```
data_CeZn2SiN4
_chemical_formula_sum 'Ce4 Zn8 Si4 N16'
_cell_length_a 7.256
_cell_length_b 7.263
_cell_length_c 7.402
_cell_angle_alpha 90.00
_cell_angle_beta 90.00
_cell_angle_gamma 90.00
_space_group_name_H-M_alt 'F m m 2'
_space_group_IT_number 42
_space_group_name_Hall 'F 2 -2'
loop_
_atom_site_label
_atom_site_type_symbol
_atom_site_fract_x
_atom_site_fract_y
_atom_site_fract_z
Ce1 Ce 0.000 0.000 0.000
Zn1 Zn 0.250 0.250 0.250
Si1 Si 0.000 0.000 0.499
N1 N 0.000 0.206 0.625
N2 N 0.206 0.000 0.374
```

Properties
ΔE_f (raw): -5.79 eV per formula unit
magnetic moment: 0.00 μB per cell

***

## Ce6SmN8 (PBE)

Data for Ce6SmN8 after structural relaxation.

The structure in CIF format:
```
data_Ce6SmN8
_chemical_formula_sum 'Ce24 Sm4 N32'
_cell_length_a 10.046
_cell_length_b 10.046
_cell_length_c 10.046
_cell_angle_alpha 90.00
_cell_angle_beta 90.00
_cell_angle_gamma 90.00
_space_group_name_H-M_alt 'F m -3 m'
_space_group_IT_number 225
_space_group_name_Hall '-F 4 2 3'
loop_
_atom_site_label
_atom_site_type_symbol
_atom_site_fract_x
_atom_site_fract_y
_atom_site_fract_z
Ce1 Ce 0.000 0.250 0.250
Sm1 Sm 0.000 0.000 0.000
N1 N 0.000 0.000 0.238
N2 N 0.250 0.250 0.250
```

Properties
ΔE_f (raw): -18.53 eV per formula unit
magnetic moment: 9.00 μB per cell

***

## CeSmN2 (PBE)

Data for CeSmN2 after structural relaxation.

The structure in CIF format:
```
data_CeSmN2
_chemical_formula_sum 'Ce2 Sm2 N4'
_cell_length_a 3.5550
_cell_length_b 3.5550
_cell_length_c 11.7621
_cell_angle_alpha 90.00
_cell_angle_beta 90.00
_cell_angle_gamma 120.00
_space_group_name_H-M_alt 'P 63/m m c'
_space_group_IT_number 194
_space_group_name_Hall '-P 6c 2c'
loop_
_atom_site_label
_atom_site_type_symbol
_atom_site_fract_x
_atom_site_fract_y
_atom_site_fract_z
Ce1 Ce 0.0000 0.0000 0.0000
Sm1 Sm 0.3333 0.6667 0.2500
N1 N 0.3333 0.6667 0.6175
```

Properties
ΔE_f (raw): -5.87 eV per formula unit
magnetic moment: 0.00 μB per cell

***

## CeSmN2 (PBE)

Data for CeSmN2 after structural relaxation.

The structure in CIF format:
```
data_CeSmN2
_chemical_formula_sum 'Ce3 Sm3 N6'
_cell_length_a 3.4941
_cell_length_b 3.4941
_cell_length_c 18.3707
_cell_angle_alpha 90.00
_cell_angle_beta 90.00
_cell_angle_gamma 120.00
_space_group_name_H-M_alt 'R 3 m'
_space_group_IT_number 160
_space_group_name_Hall 'R 3 -2"'
loop_
_atom_site_label
_atom_site_type_symbol
_atom_site_fract_x
_atom_site_fract_y
_atom_site_fract_z
Ce1 Ce 0.0000 0.0000 0.0000
Sm1 Sm 0.0000 0.0000 0.8281
N1 N 0.0000 0.0000 0.2525
N2 N 0.0000 0.0000 0.4185
```

Properties
ΔE_f (raw): -5.15 eV per formula unit
magnetic moment: 2.01 μB per cell

***

## CeSm5N6 (PBE)

Data for CeSm5N6 after structural relaxation.

The structure in CIF format:
```
data_CeSm5N6
_chemical_formula_sum 'Ce2 Sm10 N12'
_cell_length_a 6.200
_cell_length_b 10.736
_cell_length_c 6.201
_cell_angle_alpha 90.00
_cell_angle_beta 109.47
_cell_angle_gamma 90.00
_space_group_name_H-M_alt 'C 1 2/m 1'
_space_group_IT_number 12
loop_
_space_group_symop_operation_xyz
'x,y,z'
'-x,-y,-z'
'-x,y,-z'
'x,-y,z'
'x+1/2,y+1/2,z'
'-x+1/2,-y+1/2,-z'
'-x+1/2,y+1/2,-z'
'x+1/2,-y+1/2,z'
loop_
_atom_site_label
_atom_site_type_symbol
_atom_site_fract_x
_atom_site_fract_y
_atom_site_fract_z
Ce1 Ce 0.000 0.000 0.000
Sm1 Sm 0.000 0.167 0.500
Sm2 Sm 0.000 0.333 0.000
Sm3 Sm 0.000 0.500 0.500
N1 N 0.243 0.000 0.755
N2 N 0.244 0.162 0.246
```

Properties
ΔE_f (raw): -18.10 eV per formula unit
magnetic moment: 0.00 μB per cell